Entry 1:
Computed, not measured: Tb3HfAl8 after structural relaxation at the GGA-PBE level of DFT.

Geometry as POSCAR:
```
Tb3HfAl8
1.0
5.471 0.000 0.000
-2.735 4.738 0.000
0.000 0.000 9.096
Al Tb Hf
8 3 1
Direct
0.993 0.496 0.743
0.162 0.325 0.256
0.162 0.838 0.256
0.504 0.496 0.743
0.675 0.838 0.256
0.504 0.007 0.743
0.333 0.667 0.998
0.333 0.667 0.501
0.667 0.333 0.436
0.000 0.000 0.931
0.667 0.333 0.069
0.000 0.000 0.568
```

The calculation puts the magnetization at 0.000 μB per atom. The space group is P3m1 (156). The value obtained for the relative energy among the computed polymorphs is 0.013 eV per atom. For the total DFT energy (no corrections), the calculation gives -4.95 eV/atom.

Entry 2:
Computed, not measured: Ce6ZnIn2 after structural relaxation at the GGA-PBE level of DFT.

Geometry as POSCAR:
```
Ce6ZnIn2
1.0
3.002 0.000 0.000
0.000 7.877 -4.548
0.000 0.000 9.095
In Ce Zn
2 6 1
Direct
0.000 0.667 0.333
0.000 0.333 0.667
0.500 0.684 0.000
0.500 0.316 0.316
0.500 0.000 0.316
0.500 0.000 0.684
0.500 0.684 0.684
0.500 0.316 0.000
0.000 0.000 0.000
```

The calculation puts the magnetization at 0.187 μB per atom. The space group is P6/mmm (191). The value obtained for the relative energy among the computed polymorphs is 0.000 eV per atom. For the total DFT energy (no corrections), the calculation gives -4.89 eV/atom.

Entry 3:
Computed, not measured: TlGeP2S8 after structural relaxation at the GGA-PBE level of DFT.

Geometry as POSCAR:
```
TlGeP2S8
1.0
5.899 0.000 0.000
2.949 5.109 0.000
2.949 1.703 9.408
S Tl Ge P
8 1 1 2
Direct
0.717 0.060 0.840
0.811 0.811 0.567
0.940 0.617 0.160
0.617 0.283 0.160
0.189 0.189 0.433
0.060 0.383 0.840
0.283 0.940 0.160
0.383 0.717 0.840
0.500 0.500 0.500
0.000 0.000 0.000
0.260 0.260 0.220
0.740 0.740 0.780
```

The calculation puts the energy relative to the elements, uncorrected at -0.93 eV/f.u. The calculation puts the magnetization at 0.064 μB per atom. The space group is R-3 (148). For the total DFT energy (no corrections), the calculation gives -4.31 eV/atom.

Entry 4:
Computed, not measured: ErTiCuPt after structural relaxation at the GGA-PBE level of DFT.

Geometry as POSCAR:
```
ErTiCuPt
1.0
-2.870 3.559 0.959
-3.643 0.879 -2.788
-4.344 -0.841 1.498
Pt Cu Ti Er
1 1 1 1
Direct
0.500 0.500 0.500
0.000 0.000 0.000
0.250 0.250 0.250
0.750 0.750 0.750
```

The calculation puts the magnetization at 0.202 μB per atom. The space group is F-43m (216). For the total DFT energy (no corrections), the calculation gives -6.18 eV/atom.